MnFeCo2 | Alexandria via LeMat-Bulk | PBE-GGA | optimized geometry; polymorph energy (0 for the lowest one) = 113.1 meV/atom; E = -31.56 eV/f.u.; density of states at the Fermi level = 1.029 states/eV/atom; magnetization = 2.19 μB/atom; formation energy from the elements = 0.28 eV/f.u.
1.0
4.957 0.000 0.000
0.000 8.017 0.000
-0.858 0.000 2.331
Mn Fe Co
2 2 4
Cartesian
0.000 0.000 0.000
2.479 4.009 0.000
0.000 4.009 0.000
2.479 0.000 0.000
0.810 2.004 1.165
0.810 6.013 1.165
3.289 2.004 1.165
3.289 6.013 1.165